1.
MnP2Se after structural relaxation. Source: Alexandria, functional PBE.

Results
ΔE_f (raw)	0.1128	eV/atom

Structure (CIF):
```
data_MnP2Se
_chemical_formula_sum 'Mn3 P6 Se3'
_cell_length_a 2.8984
_cell_length_b 2.8984
_cell_length_c 25.6287
_cell_angle_alpha 90.00
_cell_angle_beta 90.00
_cell_angle_gamma 120.00
_space_group_name_H-M_alt 'R -3 m'
_space_group_IT_number 166
_space_group_name_Hall '-R 3 2"'
loop_
_atom_site_label
_atom_site_type_symbol
_atom_site_fract_x
_atom_site_fract_y
_atom_site_fract_z
_atom_site_occupancy
Mn1 Mn 0.0000 0.0000 0.0000 1
P1 P 0.0000 0.0000 0.2718 1
Se1 Se 0.0000 0.0000 0.5000 1
```

---

2.
Ta2PdPt2 after structural relaxation. Source: Alexandria, functional PBE.

Results
DFT formation energy	-0.1658	eV per atom
relative energy among the computed polymorphs	1.52	eV/f.u.

Structure (CIF):
```
data_Ta2PdPt2
_chemical_formula_sum 'Ta4 Pd2 Pt4'
_cell_length_a 3.860
_cell_length_b 11.861
_cell_length_c 3.976
_cell_angle_alpha 90.00
_cell_angle_beta 90.00
_cell_angle_gamma 90.00
_space_group_name_H-M_alt 'C m m m'
_space_group_IT_number 65
_space_group_name_Hall '-C 2 2'
loop_
_atom_site_label
_atom_site_type_symbol
_atom_site_fract_x
_atom_site_fract_y
_atom_site_fract_z
_atom_site_occupancy
Ta1 Ta 0.000 0.159 0.000 1
Pd1 Pd 0.000 0.000 0.500 1
Pt1 Pt 0.000 0.332 0.500 1
```

---

3.
Ba2AgSe2I2 after structural relaxation. Source: Alexandria, functional PBE.

Results
ΔE_f (raw)	-1.3594	eV/atom

Structure (CIF):
```
data_Ba2AgSe2I2
_chemical_formula_sum 'Ba4 Ag2 Se4 I4'
_cell_length_a 5.185
_cell_length_b 5.185
_cell_length_c 18.570
_cell_angle_alpha 90.00
_cell_angle_beta 90.00
_cell_angle_gamma 90.00
_space_group_name_H-M_alt 'I 4/m m m'
_space_group_IT_number 139
_space_group_name_Hall '-I 4 2'
loop_
_atom_site_label
_atom_site_type_symbol
_atom_site_fract_x
_atom_site_fract_y
_atom_site_fract_z
_atom_site_occupancy
Ba1 Ba 0.000 0.000 0.118 1
Ag1 Ag 0.000 0.000 0.500 1
Se1 Se 0.000 0.500 0.000 1
I1 I 0.000 0.000 0.314 1
```

---

4.
Tb5PmNd4 after structural relaxation. Source: Alexandria, functional PBE.

Results
DFT formation energy	0.1505	eV per atom
relative energy among the computed polymorphs	0.00	eV/f.u.

Structure (CIF):
```
data_Tb5PmNd4
_chemical_formula_sum 'Tb10 Pm2 Nd8'
_cell_length_a 17.209
_cell_length_b 3.641
_cell_length_c 11.104
_cell_angle_alpha 90.00
_cell_angle_beta 95.71
_cell_angle_gamma 90.00
_space_group_name_H-M_alt 'C 1 2/m 1'
_space_group_IT_number 12
loop_
_space_group_symop_operation_xyz
'x,y,z'
'-x,-y,-z'
'-x,y,-z'
'x,-y,z'
'x+1/2,y+1/2,z'
'-x+1/2,-y+1/2,-z'
'-x+1/2,y+1/2,-z'
'x+1/2,-y+1/2,z'
loop_
_atom_site_label
_atom_site_type_symbol
_atom_site_fract_x
_atom_site_fract_y
_atom_site_fract_z
_atom_site_occupancy
Tb1 Tb 0.000 0.000 0.000 1
Tb2 Tb 0.177 0.500 0.063 1
Tb3 Tb 0.204 0.000 0.368 1
Pm1 Pm 0.000 0.000 0.500 1
Nd1 Nd 0.041 0.500 0.256 1
Nd2 Nd 0.142 0.000 0.767 1
```

---

5.
Ho2Ga2BRh4 after structural relaxation. Source: Alexandria, functional PBE.

Results
DFT formation energy	-0.7168	eV per atom

Structure (CIF):
```
data_Ho2Ga2BRh4
_chemical_formula_sum 'Ho4 Ga4 B2 Rh8'
_cell_length_a 6.044
_cell_length_b 6.044
_cell_length_c 7.915
_cell_angle_alpha 90.00
_cell_angle_beta 90.00
_cell_angle_gamma 90.00
_space_group_name_H-M_alt 'I 4/m m m'
_space_group_IT_number 139
_space_group_name_Hall '-I 4 2'
loop_
_atom_site_label
_atom_site_type_symbol
_atom_site_fract_x
_atom_site_fract_y
_atom_site_fract_z
_atom_site_occupancy
Ho1 Ho 0.000 0.500 0.250 1
Ga1 Ga 0.000 0.000 0.197 1
B1 B 0.000 0.000 0.500 1
Rh1 Rh 0.247 0.247 0.500 1
```

---

6.
TaNbRu2 after structural relaxation. Source: Alexandria, functional PBE.

Results
DFT formation energy	1.1861	eV per atom

Structure (CIF):
```
data_TaNbRu2
_chemical_formula_sum 'Ta4 Nb4 Ru8'
_cell_length_a 5.799
_cell_length_b 5.799
_cell_length_c 11.209
_cell_angle_alpha 90.00
_cell_angle_beta 90.00
_cell_angle_gamma 90.00
_space_group_name_H-M_alt 'I -4 2 d'
_space_group_IT_number 122
_space_group_name_Hall 'I -4 2bw'
loop_
_atom_site_label
_atom_site_type_symbol
_atom_site_fract_x
_atom_site_fract_y
_atom_site_fract_z
_atom_site_occupancy
Ta1 Ta 0.000 0.000 0.000 1
Nb1 Nb 0.000 0.000 0.500 1
Ru1 Ru 0.249 0.250 0.125 1
```

---

7.
Cu2TeSe after structural relaxation. Source: Alexandria, functional PBE.

Results
relative energy among the computed polymorphs	1.19	eV/f.u.
ΔE_f (raw)	0.2141	eV/atom

Structure (CIF):
```
data_Cu2TeSe
_chemical_formula_sum 'Cu4 Te2 Se2'
_cell_length_a 3.960
_cell_length_b 6.344
_cell_length_c 7.690
_cell_angle_alpha 90.00
_cell_angle_beta 90.00
_cell_angle_gamma 90.00
_space_group_name_H-M_alt 'I m m m'
_space_group_IT_number 71
_space_group_name_Hall '-I 2 2'
loop_
_atom_site_label
_atom_site_type_symbol
_atom_site_fract_x
_atom_site_fract_y
_atom_site_fract_z
_atom_site_occupancy
Cu1 Cu 0.000 0.223 0.000 1
Te1 Te 0.000 0.000 0.500 1
Se1 Se 0.000 0.500 0.500 1
```

---

8.
Li5PmGa7 after structural relaxation. Source: Alexandria, functional PBE.

Results
DFT formation energy	-0.3353	eV per atom

Structure (CIF):
```
data_Li5PmGa7
_chemical_formula_sum 'Li10 Pm2 Ga14'
_cell_length_a 5.418
_cell_length_b 8.928
_cell_length_c 9.042
_cell_angle_alpha 90.00
_cell_angle_beta 90.00
_cell_angle_gamma 90.00
_space_group_name_H-M_alt 'I m m 2'
_space_group_IT_number 44
loop_
_space_group_symop_operation_xyz
'x,y,z'
'-x,-y,z'
'-x,y,z'
'x,-y,z'
'x+1/2,y+1/2,z+1/2'
'-x+1/2,-y+1/2,z+1/2'
'-x+1/2,y+1/2,z+1/2'
'x+1/2,-y+1/2,z+1/2'
loop_
_atom_site_label
_atom_site_type_symbol
_atom_site_fract_x
_atom_site_fract_y
_atom_site_fract_z
_atom_site_occupancy
Li1 Li 0.000 0.000 0.000 1
Li2 Li 0.246 0.250 0.526 1
Pm1 Pm 0.000 0.500 0.269 1
Ga1 Ga 0.000 0.000 0.552 1
Ga2 Ga 0.000 0.152 0.272 1
Ga3 Ga 0.000 0.217 0.781 1
Ga4 Ga 0.000 0.500 0.629 1
Ga5 Ga 0.000 0.500 0.927 1
```

---

9.
CaTm4MgSe8 after structural relaxation. Source: Alexandria, functional PBE.

Results
ΔE_f (raw)	-1.7139	eV/atom

Structure (CIF):
```
data_CaTm4MgSe8
_chemical_formula_sum 'Ca3 Tm12 Mg3 Se24'
_cell_length_a 8.3583
_cell_length_b 8.3583
_cell_length_c 20.2566
_cell_angle_alpha 90.00
_cell_angle_beta 90.00
_cell_angle_gamma 120.00
_space_group_name_H-M_alt 'R 3 m'
_space_group_IT_number 160
_space_group_name_Hall 'R 3 -2"'
loop_
_atom_site_label
_atom_site_type_symbol
_atom_site_fract_x
_atom_site_fract_y
_atom_site_fract_z
_atom_site_occupancy
Ca1 Ca 0.0000 0.0000 0.0000 1
Tm1 Tm 0.0000 0.0000 0.2421 1
Tm2 Tm 0.1701 0.3402 0.4532 1
Mg1 Mg 0.0000 0.0000 0.6253 1
Se1 Se 0.0000 0.0000 0.3771 1
Se2 Se 0.0000 0.0000 0.8617 1
Se3 Se 0.0336 0.5168 0.3733 1
Se4 Se 0.1794 0.3588 0.2027 1
```

---

10.
SmNbCuO5 after structural relaxation. Source: Alexandria, functional PBE.

Results
ΔE_f (raw)	-2.2716	eV/atom

Structure (CIF):
```
data_SmNbCuO5
_chemical_formula_sum 'Sm4 Nb4 Cu4 O20'
_cell_length_a 6.415
_cell_length_b 9.421
_cell_length_c 7.608
_cell_angle_alpha 90.00
_cell_angle_beta 112.26
_cell_angle_gamma 90.00
_space_group_name_H-M_alt 'C 1 2/c 1'
_space_group_IT_number 15
loop_
_space_group_symop_operation_xyz
'x,y,z'
'-x,-y,-z'
'-x,y,-z+1/2'
'x,-y,z+1/2'
'x+1/2,y+1/2,z'
'-x+1/2,-y+1/2,-z'
'-x+1/2,y+1/2,-z+1/2'
'x+1/2,-y+1/2,z+1/2'
loop_
_atom_site_label
_atom_site_type_symbol
_atom_site_fract_x
_atom_site_fract_y
_atom_site_fract_z
_atom_site_occupancy
Sm1 Sm 0.000 0.179 0.250 1
Nb1 Nb 0.000 0.500 0.000 1
Cu1 Cu 0.000 0.170 0.750 1
O1 O 0.000 0.432 0.250 1
O2 O 0.078 0.294 0.581 1
O3 O 0.170 0.026 0.922 1
```

---

11.
CaMg5Zn2 after structural relaxation. Source: Alexandria, functional PBE.

Results
DFT formation energy	-0.1008	eV per atom

Structure (CIF):
```
data_CaMg5Zn2
_chemical_formula_sum 'Ca2 Mg10 Zn4'
_cell_length_a 4.266
_cell_length_b 8.406
_cell_length_c 10.346
_cell_angle_alpha 90.00
_cell_angle_beta 90.00
_cell_angle_gamma 90.00
_space_group_name_H-M_alt 'I m m m'
_space_group_IT_number 71
_space_group_name_Hall '-I 2 2'
loop_
_atom_site_label
_atom_site_type_symbol
_atom_site_fract_x
_atom_site_fract_y
_atom_site_fract_z
_atom_site_occupancy
Ca1 Ca 0.000 0.000 0.000 1
Mg1 Mg 0.000 0.186 0.343 1
Mg2 Mg 0.000 0.500 0.000 1
Zn1 Zn 0.000 0.500 0.268 1
```

---

12.
FeTc2C after structural relaxation. Source: Alexandria, functional PBE.

Results
DFT formation energy	0.8012	eV per atom

Structure (CIF):
```
data_FeTc2C
_chemical_formula_sum 'Fe4 Tc8 C4'
_cell_length_a 4.878
_cell_length_b 4.878
_cell_length_c 9.803
_cell_angle_alpha 90.00
_cell_angle_beta 90.00
_cell_angle_gamma 90.00
_space_group_name_H-M_alt 'I -4 2 d'
_space_group_IT_number 122
_space_group_name_Hall 'I -4 2bw'
loop_
_atom_site_label
_atom_site_type_symbol
_atom_site_fract_x
_atom_site_fract_y
_atom_site_fract_z
_atom_site_occupancy
Fe1 Fe 0.000 0.000 0.000 1
Tc1 Tc 0.201 0.250 0.625 1
C1 C 0.000 0.000 0.500 1
```